Entry 1:
A relaxed structure of PuTl2Br6, computed with PBE.

Calculated values
Polymorph energy (0 for the lowest one): 22 meV per atom
Symmetry: P4_2/mnm
Size of the total moment: 4.00 μB per formula unit
Uncorrected formation energy: -1120 meV/atom

Geometry as POSCAR:
```
PuTl2Br6
1.0
-5.7534 4.3127 1.7123
-1.8751 0.3341 -7.1418
-8.0378 -11.3500 1.5794
Br Tl Pu
12 4 2
Direct
0.1833 0.8167 0.8560 Br
0.3167 0.3167 0.6440 Br
0.6833 0.6833 0.3560 Br
0.1833 0.8167 0.1440 Br
0.8167 0.1833 0.8560 Br
0.7646 0.2354 0.5000 Br
0.2354 0.7646 0.5000 Br
0.8167 0.1833 0.1440 Br
0.2646 0.2646 0.0000 Br
0.7354 0.7354 0.0000 Br
0.6833 0.6833 0.6440 Br
0.3167 0.3167 0.3560 Br
0.0000 0.0000 0.3335 Tl
0.0000 0.0000 0.6665 Tl
0.5000 0.5000 0.1665 Tl
0.5000 0.5000 0.8335 Tl
0.0000 0.0000 0.0000 Pu
0.5000 0.5000 0.5000 Pu
```

Entry 2:
A relaxed structure of Pu3Ag5S12, computed with PBE.

Calculated values
Symmetry: Ia-3d
Size of the total moment: 10.93 μB per formula unit
Uncorrected formation energy: -474 meV/atom

Geometry as POSCAR:
```
Pu3Ag5S12
1.0
13.1967 0.0000 0.0000
-4.3989 12.4420 0.0000
-4.3989 -6.2210 10.7751
S Pu Ag
48 12 20
Direct
0.5527 0.2222 0.1364 S
0.8636 0.5858 0.9163 S
0.0858 0.9163 0.3636 S
0.9163 0.0858 0.8636 S
0.9142 0.0837 0.6364 S
0.9142 0.8305 0.7778 S
0.9473 0.3636 0.2778 S
0.4163 0.3636 0.5858 S
0.5837 0.6364 0.4142 S
0.0858 0.1695 0.2222 S
0.2222 0.5527 0.6364 S
0.4473 0.7778 0.8636 S
0.1695 0.0858 0.7222 S
0.8636 0.2778 0.4473 S
0.6695 0.4473 0.5837 S
0.2778 0.4142 0.8305 S
0.5837 0.9473 0.6695 S
0.4163 0.0527 0.3305 S
0.1364 0.4142 0.0837 S
0.3305 0.5527 0.4163 S
0.1364 0.7222 0.5527 S
0.0527 0.4163 0.8305 S
0.3305 0.7778 0.4142 S
0.8305 0.9142 0.2778 S
0.5858 0.8636 0.4163 S
0.9473 0.5837 0.1695 S
0.0527 0.6364 0.7222 S
0.7222 0.1364 0.0527 S
0.3636 0.9473 0.7778 S
0.7778 0.4473 0.3636 S
0.9163 0.8305 0.5527 S
0.1695 0.0837 0.9473 S
0.4473 0.6695 0.0837 S
0.8305 0.9163 0.0527 S
0.0837 0.9142 0.1364 S
0.5858 0.7222 0.6695 S
0.4142 0.1364 0.5837 S
0.7222 0.5858 0.1695 S
0.6364 0.0527 0.2222 S
0.2222 0.6695 0.0858 S
0.4142 0.2778 0.3305 S
0.6695 0.2222 0.5858 S
0.0837 0.1695 0.4473 S
0.3636 0.4163 0.0858 S
0.6364 0.5837 0.9142 S
0.5527 0.3305 0.9163 S
0.7778 0.3305 0.9142 S
0.2778 0.8636 0.9473 S
0.6250 0.3750 0.7500 Pu
0.8750 0.1250 0.2500 Pu
0.6250 0.2500 0.3750 Pu
0.8750 0.7500 0.1250 Pu
0.7500 0.8750 0.6250 Pu
0.2500 0.6250 0.8750 Pu
0.1250 0.8750 0.7500 Pu
0.3750 0.7500 0.6250 Pu
0.3750 0.6250 0.2500 Pu
0.7500 0.3750 0.1250 Pu
0.2500 0.1250 0.3750 Pu
0.1250 0.2500 0.8750 Pu
0.0000 0.5000 0.5000 Ag
0.0000 0.5000 0.0000 Ag
0.1250 0.7500 0.3750 Ag
0.6250 0.8750 0.2500 Ag
0.2500 0.8750 0.1250 Ag
0.8750 0.2500 0.6250 Ag
0.5000 0.0000 0.5000 Ag
0.6250 0.7500 0.8750 Ag
0.5000 0.5000 0.5000 Ag
0.0000 0.0000 0.5000 Ag
0.1250 0.3750 0.2500 Ag
0.0000 0.0000 0.0000 Ag
0.7500 0.6250 0.3750 Ag
0.5000 0.5000 0.0000 Ag
0.8750 0.6250 0.7500 Ag
0.3750 0.2500 0.1250 Ag
0.7500 0.1250 0.8750 Ag
0.2500 0.3750 0.6250 Ag
0.5000 0.0000 0.0000 Ag
0.3750 0.1250 0.7500 Ag
```

Entry 3:
A relaxed structure of BaB2F, computed with PBE.

Calculated values
Symmetry: Fm-3m
Size of the total moment: 0.00 μB per formula unit
Uncorrected formation energy: 1061 meV/atom

Geometry as POSCAR:
```
BaB2F
1.0
2.5909 -2.5895 2.9388
-1.6963 -1.1649 4.2214
-1.2092 -4.4480 0.8990
B F Ba
2 1 1
Direct
0.2500 0.2500 0.2500 B
0.7500 0.7500 0.7500 B
0.0000 0.0000 0.0000 F
0.5000 0.5000 0.5000 Ba
```

Entry 4:
A relaxed structure of Pm7NdY4, computed with PBE.

Calculated values
Polymorph energy (0 for the lowest one): 238 meV per atom
ΔH_f (0 K): 2.87 eV/f.u.
Symmetry: C2/m
Size of the total moment: 0.00 μB per formula unit

Geometry as POSCAR:
```
Pm7NdY4
1.0
6.0451 0.0000 0.0000
3.0226 11.3203 -0.2951
3.0226 0.1538 6.0674
Y Pm Nd
4 7 1
Direct
0.2484 0.3178 0.1853 Y
0.6368 0.2244 0.5019 Y
0.7516 0.6822 0.8147 Y
0.3632 0.7756 0.4981 Y
0.9391 0.3264 0.7954 Pm
0.2095 0.0794 0.5016 Pm
0.3699 0.5020 0.7581 Pm
0.7905 0.9206 0.4984 Pm
0.5000 0.0000 0.0000 Pm
0.6301 0.4980 0.2419 Pm
0.0609 0.6736 0.2046 Pm
0.0000 0.0000 0.0000 Nd
```